This record from Alexandria via LeMat-Bulk describes LiMgSe2 after structural relaxation. The functional is PBE. Values from VASP.

Properties
raw total energy	-3.47	eV/atom
total magnetic moment	0.0	μB/f.u.
ρ	3.75	g/cm³
space group	Cm, No. 8

The structure in Quantum ESPRESSO input format:
```
&SYSTEM
  ibrav = 0, nat = 4, ntyp = 3
/
ATOMIC_SPECIES
Li 6.94 Li.upf
Se 78.96 Se.upf
Mg 24.30 Mg.upf
CELL_PARAMETERS angstrom
6.219 0.218 -0.130
5.034 3.659 -0.130
0.642 0.221 3.851
ATOMIC_POSITIONS angstrom
Li 5.649 1.947 1.310
Se 3.010 1.037 1.427
Mg 9.301 3.205 3.145
Se 11.778 4.059 3.095
```